Model i:
This record from Alexandria via LeMat-Bulk describes a crystal of CoIrPt relaxed with PBEsol. The functional is SCAN.

The structure in CIF format:
```
data_CoIrPt
_cell_length_a 2.676
_cell_length_b 2.676
_cell_length_c 11.059
_cell_angle_alpha 90.00
_cell_angle_beta 90.00
_cell_angle_gamma 90.00
_space_group_name_H-M_alt 'I 4 m m'
_space_group_IT_number 107
_space_group_name_Hall 'I 4 -2'
loop_
_atom_site_label
_atom_site_type_symbol
_atom_site_fract_x
_atom_site_fract_y
_atom_site_fract_z
Co1 Co 0.000 0.000 0.000
Ir1 Ir 0.000 0.000 0.652
Pt1 Pt 0.000 0.000 0.335
```

Summary:
Calculated volume, Å³ per atom: 13.2
Total magnetization, Bohr magnetons per cell: 4.9
DOS at the Fermi energy, states/eV/cell: 6.39



Model ii:
This record from Alexandria via LeMat-Bulk describes a crystal of CoIrPt relaxed with PBEsol. The functional is SCAN.

The structure in CIF format:
```
data_CoIrPt
_cell_length_a 2.6795
_cell_length_b 2.6795
_cell_length_c 6.4355
_cell_angle_alpha 90.00
_cell_angle_beta 90.00
_cell_angle_gamma 120.00
_space_group_name_H-M_alt 'P 3 m 1'
_space_group_IT_number 156
loop_
_space_group_symop_operation_xyz
'x,y,z'
'-y,x-y,z'
'-x+y,-x,z'
'-y,-x,z'
'-x+y,y,z'
'x,x-y,z'
loop_
_atom_site_label
_atom_site_type_symbol
_atom_site_fract_x
_atom_site_fract_y
_atom_site_fract_z
Co1 Co 0.0000 0.0000 0.0000
Ir1 Ir 0.3333 0.6667 0.6903
Pt1 Pt 0.6667 0.3333 0.3266
```

Summary:
Calculated volume, Å³ per atom: 13.3
Total magnetization, Bohr magnetons per cell: 2.6
DOS at the Fermi energy, states/eV/cell: 4.06



Going by the energies, model i is most stable and the next is 6 meV per atom up.



Model i:
This record from Alexandria via LeMat-Bulk describes a crystal of CoRe2Ir relaxed with PBEsol. The functional is SCAN.

The structure in CIF format:
```
data_CoRe2Ir
_cell_length_a 2.672
_cell_length_b 4.246
_cell_length_c 4.692
_cell_angle_alpha 90.00
_cell_angle_beta 90.00
_cell_angle_gamma 90.00
_space_group_name_H-M_alt 'P m m 2'
_space_group_IT_number 25
loop_
_space_group_symop_operation_xyz
'x,y,z'
'-x,-y,z'
'-x,y,z'
'x,-y,z'
loop_
_atom_site_label
_atom_site_type_symbol
_atom_site_fract_x
_atom_site_fract_y
_atom_site_fract_z
Co1 Co 0.000 0.000 0.000
Re1 Re 0.500 0.000 0.487
Re2 Re 0.500 0.500 0.155
Ir1 Ir 0.000 0.500 0.674
```

Summary:
Calculated volume, Å³ per atom: 13.3
Total magnetization, Bohr magnetons per cell: 0.7
DOS at the Fermi energy, states/eV/cell: 2.12



Model ii:
This record from Alexandria via LeMat-Bulk describes a crystal of CoRe2Ir relaxed with PBEsol. The functional is SCAN.

The structure in CIF format:
```
data_CoRe2Ir
_cell_length_a 2.6809
_cell_length_b 2.6809
_cell_length_c 25.9347
_cell_angle_alpha 90.00
_cell_angle_beta 90.00
_cell_angle_gamma 120.00
_space_group_name_H-M_alt 'R -3 m'
_space_group_IT_number 166
_space_group_name_Hall '-R 3 2"'
loop_
_atom_site_label
_atom_site_type_symbol
_atom_site_fract_x
_atom_site_fract_y
_atom_site_fract_z
Co1 Co 0.0000 0.0000 0.0000
Re1 Re 0.0000 0.0000 0.2537
Ir1 Ir 0.0000 0.0000 0.5000
```

Summary:
Calculated volume, Å³ per atom: 13.5
Total magnetization, Bohr magnetons per cell: 5.0
DOS at the Fermi energy, states/eV/cell: 9.20



Going by the energies, model i is most stable and the next is 226 meV per atom up.



Model i:
This record from Alexandria via LeMat-Bulk describes a crystal of CoReIr2 relaxed with PBEsol. The functional is SCAN.

The structure in CIF format:
```
data_CoReIr2
_cell_length_a 2.700
_cell_length_b 2.700
_cell_length_c 7.318
_cell_angle_alpha 90.00
_cell_angle_beta 90.00
_cell_angle_gamma 90.00
_space_group_name_H-M_alt 'P 4/m m m'
_space_group_IT_number 123
_space_group_name_Hall '-P 4 2'
loop_
_atom_site_label
_atom_site_type_symbol
_atom_site_fract_x
_atom_site_fract_y
_atom_site_fract_z
Co1 Co 0.000 0.000 0.000
Re1 Re 0.000 0.000 0.500
Ir1 Ir 0.500 0.500 0.241
```

Summary:
Calculated volume, Å³ per atom: 13.3
Total magnetization, Bohr magnetons per cell: 2.2
DOS at the Fermi energy, states/eV/cell: 3.68



Model ii:
This record from Alexandria via LeMat-Bulk describes a crystal of CoReIr2 relaxed with PBEsol. The functional is SCAN.

The structure in CIF format:
```
data_CoReIr2
_cell_length_a 6.015
_cell_length_b 6.015
_cell_length_c 6.015
_cell_angle_alpha 90.00
_cell_angle_beta 90.00
_cell_angle_gamma 90.00
_space_group_name_H-M_alt 'F m -3 m'
_space_group_IT_number 225
_space_group_name_Hall '-F 4 2 3'
loop_
_atom_site_label
_atom_site_type_symbol
_atom_site_fract_x
_atom_site_fract_y
_atom_site_fract_z
Co1 Co 0.000 0.000 0.000
Re1 Re 0.000 0.000 0.500
Ir1 Ir 0.250 0.250 0.250
```

Summary:
Calculated volume, Å³ per atom: 13.6
Total magnetization, Bohr magnetons per cell: 0.2
DOS at the Fermi energy, states/eV/cell: 18.24



Going by the energies, model i is most stable and the next is 503 meV per atom up.



Model i:
This record from Alexandria via LeMat-Bulk describes a crystal of CoReIr2 relaxed with PBEsol. The functional is SCAN.

The structure in CIF format:
```
data_CoReIr2
_cell_length_a 3.779
_cell_length_b 3.779
_cell_length_c 7.422
_cell_angle_alpha 90.00
_cell_angle_beta 90.00
_cell_angle_gamma 90.00
_space_group_name_H-M_alt 'I 4/m m m'
_space_group_IT_number 139
_space_group_name_Hall '-I 4 2'
loop_
_atom_site_label
_atom_site_type_symbol
_atom_site_fract_x
_atom_site_fract_y
_atom_site_fract_z
Co1 Co 0.000 0.000 0.000
Re1 Re 0.000 0.000 0.500
Ir1 Ir 0.000 0.500 0.250
```

Summary:
Calculated volume, Å³ per atom: 13.3
Total magnetization, Bohr magnetons per cell: 2.9
DOS at the Fermi energy, states/eV/cell: 5.49



Model ii:
This record from Alexandria via LeMat-Bulk describes a crystal of CoReIr2 relaxed with PBEsol. The functional is SCAN.

The structure in CIF format:
```
data_CoReIr2
_cell_length_a 2.703
_cell_length_b 4.229
_cell_length_c 4.666
_cell_angle_alpha 90.00
_cell_angle_beta 90.00
_cell_angle_gamma 90.00
_space_group_name_H-M_alt 'P m m 2'
_space_group_IT_number 25
loop_
_space_group_symop_operation_xyz
'x,y,z'
'-x,-y,z'
'-x,y,z'
'x,-y,z'
loop_
_atom_site_label
_atom_site_type_symbol
_atom_site_fract_x
_atom_site_fract_y
_atom_site_fract_z
Co1 Co 0.000 0.000 0.000
Re1 Re 0.000 0.500 0.324
Ir1 Ir 0.500 0.000 0.501
Ir2 Ir 0.500 0.500 0.847
```

Summary:
Calculated volume, Å³ per atom: 13.3
Total magnetization, Bohr magnetons per cell: 2.0
DOS at the Fermi energy, states/eV/cell: 3.06



Going by the energies, model ii is most stable and the next is 8 meV per atom up.



Model i:
This record from Alexandria via LeMat-Bulk describes a crystal of CoReIr2 relaxed with PBEsol. The functional is SCAN.

The structure in CIF format:
```
data_CoReIr2
_cell_length_a 5.318
_cell_length_b 7.484
_cell_length_c 2.676
_cell_angle_alpha 90.00
_cell_angle_beta 90.00
_cell_angle_gamma 90.00
_space_group_name_H-M_alt 'C m m m'
_space_group_IT_number 65
_space_group_name_Hall '-C 2 2'
loop_
_atom_site_label
_atom_site_type_symbol
_atom_site_fract_x
_atom_site_fract_y
_atom_site_fract_z
Co1 Co 0.000 0.000 0.000
Re1 Re 0.000 0.500 0.000
Ir1 Ir 0.250 0.250 0.500
```

Summary:
Calculated volume, Å³ per atom: 13.3
Total magnetization, Bohr magnetons per cell: 3.2
DOS at the Fermi energy, states/eV/cell: 8.83



Model ii:
This record from Alexandria via LeMat-Bulk describes a crystal of CoReIr2 relaxed with PBEsol. The functional is SCAN.

The structure in CIF format:
```
data_CoReIr2
_cell_length_a 2.683
_cell_length_b 3.738
_cell_length_c 5.303
_cell_angle_alpha 90.00
_cell_angle_beta 90.00
_cell_angle_gamma 90.00
_space_group_name_H-M_alt 'P m m m'
_space_group_IT_number 47
loop_
_space_group_symop_operation_xyz
'x,y,z'
'-x,-y,-z'
'-x,-y,z'
'x,y,-z'
'x,-y,-z'
'-x,y,z'
'-x,y,-z'
'x,-y,z'
loop_
_atom_site_label
_atom_site_type_symbol
_atom_site_fract_x
_atom_site_fract_y
_atom_site_fract_z
Co1 Co 0.000 0.000 0.000
Re1 Re 0.000 0.000 0.500
Ir1 Ir 0.500 0.500 0.243
```

Summary:
Calculated volume, Å³ per atom: 13.3
Total magnetization, Bohr magnetons per cell: 1.6
DOS at the Fermi energy, states/eV/cell: 3.15



Going by the energies, model ii is most stable and the next is 100 meV per atom up.



Model i:
This record from Alexandria via LeMat-Bulk describes a crystal of Co2IrRh relaxed with PBEsol. The functional is SCAN.

The structure in CIF format:
```
data_Co2IrRh
_cell_length_a 2.6195
_cell_length_b 2.6195
_cell_length_c 24.7822
_cell_angle_alpha 90.00
_cell_angle_beta 90.00
_cell_angle_gamma 120.00
_space_group_name_H-M_alt 'R -3 m'
_space_group_IT_number 166
_space_group_name_Hall '-R 3 2"'
loop_
_atom_site_label
_atom_site_type_symbol
_atom_site_fract_x
_atom_site_fract_y
_atom_site_fract_z
Co1 Co 0.0000 0.0000 0.2502
Ir1 Ir 0.0000 0.0000 0.5000
Rh1 Rh 0.0000 0.0000 0.0000
```

Summary:
Calculated volume, Å³ per atom: 12.3
Total magnetization, Bohr magnetons per cell: 15.6
DOS at the Fermi energy, states/eV/cell: 15.05



Model ii:
This record from Alexandria via LeMat-Bulk describes a crystal of Co2IrRh relaxed with PBEsol. The functional is SCAN.

The structure in CIF format:
```
data_Co2IrRh
_cell_length_a 3.603
_cell_length_b 3.603
_cell_length_c 7.375
_cell_angle_alpha 90.00
_cell_angle_beta 90.00
_cell_angle_gamma 90.00
_space_group_name_H-M_alt 'I -4 m 2'
_space_group_IT_number 119
_space_group_name_Hall 'I -4 -2'
loop_
_atom_site_label
_atom_site_type_symbol
_atom_site_fract_x
_atom_site_fract_y
_atom_site_fract_z
Co1 Co 0.000 0.000 0.000
Co2 Co 0.000 0.500 0.250
Ir1 Ir 0.000 0.000 0.500
Rh1 Rh 0.000 0.500 0.750
```

Summary:
Calculated volume, Å³ per atom: 12.0
Total magnetization, Bohr magnetons per cell: 7.5
DOS at the Fermi energy, states/eV/cell: 6.84



Going by the energies, model ii is most stable and the next is 9 meV per atom up.